No. 1
VASP calculation (SCAN) on La2I5 at its PBEsol-relaxed geometry.

Results
Space group: P2_1/m, No. 11
Density: 5.6 g/cm3
Density of states at the Fermi level: 3.05 states/eV/cell
Raw formation energy: -1.65 eV per atom

a b c (Å): 4.349 8.535 14.522
angles (deg): 90.09 90.00 90.00
Sites, in units of the cell vectors:
La1 0.750 0.576 0.657
I1 0.750 0.156 0.932
La2 0.250 0.424 0.343
I2 0.250 0.332 0.728
I3 0.250 0.049 0.321
I4 0.250 0.696 0.508
I5 0.750 0.304 0.492
I6 0.750 0.951 0.679
La3 0.250 0.922 0.842
I7 0.250 0.353 0.125
I8 0.750 0.668 0.272
La4 0.750 0.078 0.158
I9 0.250 0.844 0.068
I10 0.750 0.647 0.875


No. 2
VASP calculation (SCAN) on LiLaZr2I at its PBEsol-relaxed geometry.

Results
Space group: P4/mmm, No. 123
Density: 5.2 g/cm3
Density of states at the Fermi level: 5.11 states/eV/cell
Raw formation energy: 1.18 eV per atom

a b c (Å): 5.129 5.129 5.487
angles (deg): 90.00 90.00 90.00
Sites, in units of the cell vectors:
I1 0.500 0.500 0.500
La1 0.000 0.000 0.000
Li1 0.000 0.000 0.500
Zr1 0.500 0.000 0.000
Zr2 0.000 0.500 0.000


No. 3
VASP calculation (SCAN) on LaMg3I at its PBEsol-relaxed geometry.

Results
Space group: Pm-3m, No. 221
Density: 3.3 g/cm3
Density of states at the Fermi level: 6.17 states/eV/cell
Raw formation energy: 0.50 eV per atom

a b c (Å): 5.568 5.568 5.568
angles (deg): 90.00 90.00 90.00
Sites, in units of the cell vectors:
Mg1 0.500 0.000 0.000
I1 0.000 0.000 0.000
Mg2 0.000 0.500 0.000
Mg3 0.000 0.000 0.500
La1 0.500 0.500 0.500


No. 4
VASP calculation (SCAN) on LaMgMnI2 at its PBEsol-relaxed geometry.

Results
Space group: P4/mmm, No. 123
Density: 5.5 g/cm3
Density of states at the Fermi level: 1.33 states/eV/cell
Raw formation energy: -0.03 eV per atom

a b c (Å): 4.920 5.359 5.359
angles (deg): 90.00 90.00 90.00
Sites, in units of the cell vectors:
I1 0.000 0.500 0.000
Mg1 0.500 0.500 0.500
La1 0.500 0.000 0.000
Mn1 0.000 0.000 0.000
I2 0.000 0.000 0.500


Repeat the third record exactly.
VASP calculation (SCAN) on LaMg3I at its PBEsol-relaxed geometry.

Results
Space group: Pm-3m, No. 221
Density: 3.3 g/cm3
Density of states at the Fermi level: 6.17 states/eV/cell
Raw formation energy: 0.50 eV per atom

a b c (Å): 5.568 5.568 5.568
angles (deg): 90.00 90.00 90.00
Sites, in units of the cell vectors:
Mg1 0.500 0.000 0.000
I1 0.000 0.000 0.000
Mg2 0.000 0.500 0.000
Mg3 0.000 0.000 0.500
La1 0.500 0.500 0.500